No. 1
La2Pr7In | PBE | optimized geometry Values from VASP.

```
&SYSTEM
  ibrav = 0, nat = 10, ntyp = 3
/
ATOMIC_SPECIES
In 114.82 In.upf
Pr 140.91 Pr.upf
La 138.91 La.upf
ATOMIC_POSITIONS angstrom
In 0.000 0.000 0.000
Pr -1.356 7.775 0.636
Pr -6.010 1.802 1.921
Pr -2.616 1.697 -1.756
Pr -1.986 4.736 -0.560
Pr 2.964 5.557 1.843
La 1.240 6.086 -0.588
La -5.212 3.386 -0.532
Pr -4.575 6.429 0.664
Pr 0.603 3.044 -1.784
CELL_PARAMETERS angstrom
-0.927 2.114 -4.883
-9.314 0.419 1.949
6.268 6.939 1.815
```

Space group = Cmmm (65)
Energy of formation = 0.445 eV/atom
Crystal system = orthorhombic



No. 2
La3Pr2In3 | PBE | optimized geometry Values from VASP.

```
&SYSTEM
  ibrav = 0, nat = 8, ntyp = 3
/
ATOMIC_SPECIES
La 138.91 La.upf
Pr 140.91 Pr.upf
In 114.82 In.upf
ATOMIC_POSITIONS angstrom
La -2.702 3.173 1.043
Pr 0.122 5.297 1.531
In -2.354 -0.244 1.030
Pr -1.274 4.082 4.521
La 1.550 6.206 5.009
In 0.509 2.039 1.645
In -1.661 7.341 4.407
La -0.835 1.468 -1.560
CELL_PARAMETERS angstrom
-1.669 2.935 -3.120
-4.708 -0.487 2.060
5.226 6.931 7.112
```

Space group = Immm (71)
Distance to the lowest polymorph of the same formula = 0 meV per atom
Energy of formation = -0.378 eV/atom
Crystal system = orthorhombic